DFT (PBE) results for a geometry-optimized KGaBr2 structure.

Summary:
Its density of states at the Fermi level is 0.00 states/eV/f.u. Its space group is Cm, No. 8. The calculation puts the uncorrected formation energy at -4.55 eV/f.u. The calculation puts the final energy at -3.01 eV/atom.

Lattice parameters (Å, degrees): 4.6249 4.6230 6.5835 89.99 89.96 89.70
Closest atoms and distances in Å follow each position.
Sites, in units of the cell vectors:
Br1 0.2601 0.7602 0.4604  1 Ga 2.90
Br2 0.7239 0.2243 0.0065  3 Ga 3.01-3.28, 2 K 3.30
Ga1 0.2660 0.7654 0.0194  2 Br 2.90-3.01
K1 0.7598 0.2600 0.5066  6 Br 3.27-3.30

=====

DFT (PBE) results for a geometry-optimized GaCuSe structure.

Summary:
Its density of states at the Fermi level is 0.88 states/eV/f.u. Its space group is Cc, No. 9. The calculation puts the uncorrected formation energy at -0.40 eV/f.u. The calculation puts the final energy at -3.67 eV/atom.

Lattice parameters (Å, degrees): 4.3024 9.6613 9.2307 94.07 76.52 77.13
Closest atoms and distances in Å follow each position.
Sites, in units of the cell vectors:
Ga1 0.8130 0.6850 0.6376  2 Se 2.48-2.57, 2 Cu 2.48-2.54
Ga2 0.1412 0.9212 0.7785  4 Cu 2.41-2.65
Ga3 0.1591 0.4212 0.2785  4 Cu 2.41-2.65
Ga4 0.0749 0.2338 0.7256  1 Cu 2.48, 3 Se 2.48-2.54
Ga5 0.9657 0.7338 0.2256  1 Cu 2.48, 3 Se 2.48-2.54
Ga6 0.8643 0.1850 0.1376  2 Se 2.48-2.57, 2 Cu 2.48-2.54
Cu1 0.6138 0.3265 0.3980  2 Se 2.46-2.52, 3 Ga 2.50-2.73, 3 Cu 2.57-2.73
Cu2 0.5339 0.0631 0.7873  3 Ga 2.41-2.65, 2 Se 2.46-2.66, 1 Cu 2.57
Cu3 0.2909 0.6599 0.8051  2 Se 2.43, 2 Ga 2.48-2.51
Cu4 0.2441 0.1599 0.3051  2 Se 2.43, 2 Ga 2.48-2.51
Cu5 0.6617 0.8265 0.8980  2 Se 2.46-2.52, 3 Ga 2.50-2.73, 3 Cu 2.57-2.73
Cu6 0.6157 0.5631 0.2873  3 Ga 2.41-2.65, 2 Se 2.46-2.66, 1 Cu 2.57
Se1 0.8488 0.1327 0.5295  3 Cu 2.43-2.66, 1 Ga 2.48
Se2 0.5826 0.2703 0.9429  1 Cu 2.46, 2 Ga 2.48-2.49
Se3 0.6503 0.9574 0.1455  2 Cu 2.43-2.52, 2 Ga 2.54-2.57
Se4 0.2469 0.4574 0.6455  2 Cu 2.43-2.52, 2 Ga 2.54-2.57
Se5 0.4890 0.6327 0.0295  3 Cu 2.43-2.66, 1 Ga 2.48
Se6 0.2042 0.7703 0.4429  1 Cu 2.46, 2 Ga 2.48-2.49

=====

DFT (PBE) results for a geometry-optimized GdZrAl2 structure.

Summary:
For the formation energy, the calculation gives -0.293 eV/atom. Its density of states at the Fermi level is 3.67 states/eV/f.u. Its space group is Fm-3m, No. 225. The calculation puts the final energy at -7.82 eV/atom.

Lattice parameters (Å, degrees): 4.9538 4.9538 4.9538 60.00 60.00 60.00
Closest atoms and distances in Å follow each position.
Sites, in units of the cell vectors:
Zr1 0.5000 0.5000 0.5000  8 Al 3.03
Gd1 0.0000 0.0000 0.0000  8 Al 3.03
Al1 0.2500 0.2500 0.2500  4 Zr 3.03, 4 Gd 3.03
Al2 0.7500 0.7500 0.7500  4 Gd 3.03, 4 Zr 3.03

=====

DFT (PBE) results for a geometry-optimized AcLa2Gd structure.

Summary:
For the formation energy, the calculation gives 0.158 eV/atom. Its density of states at the Fermi level is 7.77 states/eV/f.u. Its space group is R-3m, No. 166. The calculation puts the final energy at -6.85 eV/atom.

Lattice parameters (Å, degrees): 3.6882 3.6882 13.2864 82.02 82.02 60.00
Closest atoms and distances in Å follow each position.
Sites, in units of the cell vectors:
Gd1 0.5000 0.5000 0.5000  6 La 3.63, 6 Gd 3.69
La1 0.9081 0.9081 0.2756  1 Ac 3.61, 3 Gd 3.63, 6 La 3.69
La2 0.0919 0.0919 0.7244  1 Ac 3.61, 3 Gd 3.63, 6 La 3.69
Ac1 0.0000 0.0000 0.0000  2 La 3.61, 6 Ac 3.69

=====

DFT (PBE) results for a geometry-optimized CuRhAu2 structure.

Summary:
For the formation energy, the calculation gives 0.124 eV/atom. Its density of states at the Fermi level is 0.65 states/eV/f.u. Its space group is Fm-3m, No. 225. The calculation puts the final energy at -4.38 eV/atom.

Lattice parameters (Å, degrees): 4.4788 4.4788 4.4788 60.00 60.00 60.00
Closest atoms and distances in Å follow each position.
Sites, in units of the cell vectors:
Au1 0.2500 0.2500 0.2500  4 Rh 2.74, 4 Cu 2.74
Au2 0.7500 0.7500 0.7500  4 Cu 2.74, 4 Rh 2.74
Cu1 0.0000 0.0000 0.0000  8 Au 2.74
Rh1 0.5000 0.5000 0.5000  8 Au 2.74

=====

DFT (PBE) results for a geometry-optimized ReNiHg2 structure.

Summary:
For the formation energy, the calculation gives 0.726 eV/atom. Its density of states at the Fermi level is 4.07 states/eV/f.u. Its space group is Cmmm, No. 65. The calculation puts the final energy at -3.98 eV/atom.

Lattice parameters (Å, degrees): 5.0337 5.0337 2.8133 90.06 90.06 108.40
Closest atoms and distances in Å follow each position.
Sites, in units of the cell vectors:
Re1 0.0000 0.5000 0.5000  2 Re 2.81, 8 Hg 2.88, 2 Ni 2.94
Hg1 0.5000 0.5000 0.0000  4 Hg 2.81-2.94, 4 Ni 2.88, 4 Re 2.88
Hg2 0.0000 0.0000 0.0000  4 Hg 2.81-2.94, 4 Re 2.88, 4 Ni 2.88
Ni1 0.5000 0.0000 0.5000  2 Ni 2.81, 8 Hg 2.88, 2 Re 2.94

=====

DFT (PBE) results for a geometry-optimized PmTcRu structure.

Summary:
For the formation energy, the calculation gives -0.119 eV/atom. Its density of states at the Fermi level is 2.75 states/eV/f.u. Its space group is Imma, No. 74. The calculation puts the final energy at -8.25 eV/atom.

Lattice parameters (Å, degrees): 5.0790 5.4594 5.4594 64.13 62.28 62.28
Closest atoms and distances in Å follow each position.
Sites, in units of the cell vectors:
Pm1 0.8779 0.3721 0.3721  6 Ru 3.07-3.26, 6 Tc 3.15-3.32, 2 Pm 3.22
Pm2 0.1221 0.6279 0.6279  6 Ru 3.07-3.26, 6 Tc 3.15-3.32, 2 Pm 3.22
Tc1 0.5000 0.0000 0.0000  2 Tc 2.54, 4 Ru 2.73
Tc2 0.0000 0.0000 0.0000  2 Tc 2.54, 4 Ru 2.73
Ru1 0.5000 0.5000 0.0000  4 Tc 2.73, 2 Ru 2.90
Ru2 0.5000 0.0000 0.5000  4 Tc 2.73, 2 Ru 2.90

=====

DFT (PBE) results for a geometry-optimized AsPb2 structure.

Summary:
For the formation energy, the calculation gives 0.036 eV/atom. Its density of states at the Fermi level is 1.39 states/eV/f.u. Its space group is Cmcm, No. 63. The calculation puts the final energy at -3.99 eV/atom.

Lattice parameters (Å, degrees): 7.2005 7.2005 6.0645 90.00 90.00 145.26
Closest atoms and distances in Å follow each position.
Sites, in units of the cell vectors:
Pb1 0.2246 0.7754 0.5000  2 As 2.91
Pb2 0.3309 0.6691 0.0000  2 As 2.91
Pb3 0.6216 0.3784 0.0000  4 As 2.96-3.08
Pb4 0.9339 0.0661 0.5000  4 As 2.96-3.08
As1 0.5818 0.4182 0.5000  6 Pb 2.91-3.08
As2 0.9738 0.0262 0.0000  6 Pb 2.91-3.08

=====

DFT (PBE) results for a geometry-optimized Th2MgPb structure.

Summary:
For the formation energy, the calculation gives -0.100 eV/atom. Its density of states at the Fermi level is 2.84 states/eV/f.u. Its space group is P4/mmm, No. 123. The calculation puts the final energy at -5.14 eV/atom.

Lattice parameters (Å, degrees): 4.1665 4.1665 6.8401 90.00 90.00 90.00
Closest atoms and distances in Å follow each position.
Sites, in units of the cell vectors:
Th1 0.0000 0.0000 0.7542  2 Th 3.36-3.48, 4 Pb 3.39, 4 Mg 3.42
Th2 0.0000 0.0000 0.2458  2 Th 3.36-3.48, 4 Pb 3.39, 4 Mg 3.42
Pb1 0.5000 0.5000 0.0000  8 Th 3.39, 2 Mg 3.42
Mg1 0.5000 0.5000 0.5000  2 Pb 3.42, 8 Th 3.42

=====

DFT (PBE) results for a geometry-optimized ZnP2Ru structure.

Summary:
For the formation energy, the calculation gives 0.052 eV/atom. Its density of states at the Fermi level is 2.63 states/eV/f.u. Its space group is R3m, No. 160. The calculation puts the final energy at -5.29 eV/atom.

Lattice parameters (Å, degrees): 7.3221 7.3221 7.3221 24.11 24.11 24.11
Closest atoms and distances in Å follow each position.
Sites, in units of the cell vectors:
Ru1 0.5103 0.5103 0.5103  3 P 2.36
P1 0.9917 0.9917 0.9917  3 P 2.38, 3 Zn 2.60
P2 0.2502 0.2502 0.2502  3 Ru 2.36, 3 P 2.38
Zn1 0.7478 0.7478 0.7478  3 P 2.60, 3 Ru 2.70

=====

DFT (PBE) results for a geometry-optimized BaGd2Th structure.

Summary:
For the formation energy, the calculation gives 0.180 eV/atom. Its density of states at the Fermi level is 4.45 states/eV/f.u. Its space group is R-3m, No. 166. The calculation puts the final energy at -9.20 eV/atom.

Lattice parameters (Å, degrees): 3.6412 3.6412 12.9721 81.93 81.93 60.00
Closest atoms and distances in Å follow each position.
Sites, in units of the cell vectors:
Th1 0.5000 0.5000 0.5000  6 Gd 3.47, 6 Th 3.64
Gd1 0.9053 0.9053 0.2840  3 Th 3.47, 1 Ba 3.64, 6 Gd 3.64
Gd2 0.0947 0.0947 0.7160  3 Th 3.47, 1 Ba 3.64, 6 Gd 3.64
Ba1 0.0000 0.0000 0.0000  2 Gd 3.64, 6 Ba 3.64

=====

DFT (PBE) results for a geometry-optimized Ba3Li2Pb9 structure.

Summary:
For the formation energy, the calculation gives -0.362 eV/atom. Its density of states at the Fermi level is 4.89 states/eV/f.u. Its space group is Immm, No. 71. The calculation puts the final energy at -3.43 eV/atom.

Lattice parameters (Å, degrees): 5.1373 9.9446 9.9446 75.09 75.03 75.03
Closest atoms and distances in Å follow each position.
Sites, in units of the cell vectors:
Li1 0.5000 0.3276 0.6724  8 Pb 3.07-3.39
Li2 0.5000 0.6724 0.3276  8 Pb 3.07-3.39
Pb1 0.1454 0.5612 0.1479  4 Pb 3.17-3.33, 2 Li 3.39
Pb2 0.3619 0.9981 0.2781  1 Li 3.07, 4 Pb 3.17-3.39
Pb3 0.1454 0.1479 0.5612  4 Pb 3.17-3.33, 2 Li 3.39
Pb4 0.8546 0.8521 0.4388  4 Pb 3.17-3.33, 2 Li 3.39
Pb5 0.6381 0.0019 0.7219  1 Li 3.07, 4 Pb 3.17-3.39
Pb6 0.3619 0.2781 0.9981  1 Li 3.07, 4 Pb 3.17-3.39
Pb7 0.6381 0.7219 0.0019  1 Li 3.07, 4 Pb 3.17-3.39
Pb8 0.8546 0.4388 0.8521  4 Pb 3.17-3.33, 2 Li 3.39
Pb9 0.0000 0.5000 0.5000  4 Li 3.31, 4 Pb 3.31
Ba1 0.0000 0.0000 0.0000  8 Pb 3.70
Ba2 0.7042 0.2958 0.2958  10 Pb 3.69-3.98, 2 Li 3.69
Ba3 0.2958 0.7042 0.7042  10 Pb 3.69-3.98, 2 Li 3.69